Material: SrTaAl2
Method: DFT, GGA-PBE
State: relaxed

Results
The magnetic moment is 3.4 Bohr magnetons per cell. For the formation energy, the calculation gives 0.379 eV/atom. Its excess energy over the best structure of this formula in the dataset is 381 meV per atom.

Lattice parameters (Å, degrees): 6.9956 6.9956 6.9956 90.00 90.00 90.00
With the nearest neighbours (Å) after each atom.
Space group Fm-3m (No. 225)
Symmetry-distinct sites (fractional):
Sr (0.0000, 0.0000, 0.0000)  8 Al 3.03
Ta (0.0000, 0.0000, 0.5000)  8 Al 3.03
Al (0.2500, 0.2500, 0.2500)  4 Ta 3.03, 4 Sr 3.03